1.
VASP calculation (PBE) on a relaxed structure of Nd3Sm3Th2.

Calculated values
E_form	5	kJ per mole of atoms
polymorph energy (0 for the lowest one)	7	kJ/mol of formula units
volume	33.88	Å³ per atom
total magnetic moment	0.00	μB per cell
energy	-0.39438	Ry per atom

Cell lengths 6.2897, 6.2925, 8.9155 Å; angles 61.76, 61.77, 70.39 degrees
With the nearest neighbours (Å) after each atom.
Element x y z (fractional)
Sm 0.3707 0.8706 0.2592  5 Nd 3.49-3.67, 4 Th 3.59-3.61, 3 Sm 3.66-3.77
Nd 0.8694 0.3695 0.2612  5 Sm 3.49-3.68, 4 Th 3.59-3.60, 3 Nd 3.67-3.80
Nd 0.1306 0.6305 0.7388  5 Sm 3.49-3.68, 4 Th 3.59-3.60, 3 Nd 3.67-3.80
Th 0.7495 0.7492 0.5013  5 Nd 3.59-3.64, 5 Sm 3.59-3.63, 2 Th 3.62-3.63
Th 0.2505 0.2508 0.4987  5 Nd 3.59-3.64, 5 Sm 3.59-3.63, 2 Th 3.62-3.63
Nd 0.0000 0.0000 0.0000  6 Sm 3.63-3.67, 2 Th 3.64, 4 Nd 3.67-3.68
Sm 0.6293 0.1294 0.7408  5 Nd 3.49-3.67, 4 Th 3.59-3.61, 3 Sm 3.66-3.77
Sm 0.5000 0.5000 0.0000  2 Th 3.63, 6 Nd 3.63-3.68, 4 Sm 3.66-3.67

***

2.
VASP calculation (PBE) on a relaxed structure of NdSmTh14.

Calculated values
E_form	4	kJ per mole of atoms
volume	32.56	Å³ per atom
total magnetic moment	0.00	μB per cell
energy	-0.51776	Ry per atom

Cell lengths 7.1942, 7.1942, 11.6303 Å; angles 90.00, 90.00, 120.07 degrees
With the nearest neighbours (Å) after each atom.
Element x y z (fractional)
Nd 0.5405 0.4595 0.5000  10 Th 3.57-3.63, 2 Sm 3.59
Th 0.3751 0.1244 0.2479  10 Th 3.55-3.61, 1 Sm 3.60, 1 Nd 3.60
Sm 0.0406 0.9594 0.5000  10 Th 3.57-3.62, 2 Nd 3.59
Th 0.7083 0.2917 0.0000  12 Th 3.55-3.60
Th 0.8756 0.6249 0.7521  10 Th 3.55-3.61, 1 Sm 3.60, 1 Nd 3.60
Th 0.8746 0.1254 0.7513  11 Th 3.56-3.60, 1 Sm 3.58
Th 0.2082 0.7918 0.0000  12 Th 3.55-3.60
Th 0.3744 0.6256 0.2482  11 Th 3.55-3.61, 1 Nd 3.59
Th 0.7084 0.7918 0.0000  12 Th 3.56-3.60
Th 0.5429 0.9564 0.5000  2 Nd 3.57-3.63, 2 Sm 3.57-3.62, 8 Th 3.58-3.60
Th 0.3744 0.6256 0.7518  11 Th 3.55-3.61, 1 Nd 3.59
Th 0.8756 0.6249 0.2479  10 Th 3.55-3.61, 1 Sm 3.60, 1 Nd 3.60
Th 0.2082 0.2916 0.0000  12 Th 3.56-3.60
Th 0.3751 0.1244 0.7521  10 Th 3.55-3.61, 1 Sm 3.60, 1 Nd 3.60
Th 0.0436 0.4571 0.5000  2 Nd 3.57-3.63, 2 Sm 3.57-3.62, 8 Th 3.58-3.60
Th 0.8746 0.1254 0.2487  11 Th 3.56-3.60, 1 Sm 3.58

***

3.
VASP calculation (PBE) on a relaxed structure of NdSm6Th4.

Calculated values
E_form	17	kJ per mole of atoms
volume	34.03	Å³ per atom
total magnetic moment	0.00	μB per cell
energy	-0.40608	Ry per atom

Cell lengths 3.4871, 5.9661, 18.3218 Å; angles 99.37, 95.46, 90.00 degrees
With the nearest neighbours (Å) after each atom.
Element x y z (fractional)
Sm 0.5962 0.0962 0.1924  6 Sm 3.49-3.68, 4 Th 3.53-3.57, 2 Nd 3.88
Sm 0.7678 0.2678 0.5356  4 Th 3.47-3.52, 7 Sm 3.49-3.69
Sm 0.4038 0.9038 0.8076  6 Sm 3.49-3.68, 4 Th 3.53-3.57, 2 Nd 3.88
Nd 0.0000 0.0000 0.0000  2 Nd 3.49, 8 Th 3.80, 4 Sm 3.88
Sm 0.1315 0.6315 0.2630  7 Sm 3.49-3.68, 4 Th 3.51-3.61
Sm 0.2322 0.7322 0.4644  4 Th 3.47-3.52, 7 Sm 3.49-3.69
Th 0.5437 0.5437 0.0874  3 Th 3.14-3.49
Th 0.8173 0.8173 0.6345  8 Sm 3.47-3.57, 2 Th 3.49
Th 0.4563 0.4563 0.9126  3 Th 3.14-3.49
Th 0.1827 0.1827 0.3655  8 Sm 3.47-3.57, 2 Th 3.49
Sm 0.8685 0.3685 0.7370  7 Sm 3.49-3.68, 4 Th 3.51-3.61

***

4.
VASP calculation (PBE) on a relaxed structure of Nd12Sm6Th.

Calculated values
E_form	12	kJ per mole of atoms
volume	35.79	Å³ per atom
total magnetic moment	0.00	μB per cell
energy	-0.35061	Ry per atom

Cell lengths 8.8961, 8.8961, 8.8961 Å; angles 98.22, 98.22, 98.22 degrees
With the nearest neighbours (Å) after each atom.
Element x y z (fractional)
Nd 0.2624 0.0000 0.7377  4 Sm 3.48-3.59, 1 Th 3.53, 6 Nd 3.53-3.69
Nd 0.4157 0.4159 0.8294  5 Nd 3.24-3.58
Th 0.0000 0.0000 0.0000  6 Nd 3.53, 6 Sm 3.60
Nd 0.0000 0.7377 0.2624  4 Sm 3.48-3.59, 6 Nd 3.53-3.69, 1 Th 3.53
Sm 0.5965 0.8604 0.8601  4 Nd 3.48-3.59, 2 Sm 3.55, 1 Th 3.60
Sm 0.8604 0.8601 0.5965  4 Nd 3.48-3.59, 2 Sm 3.55, 1 Th 3.60
Sm 0.1396 0.1399 0.4035  4 Nd 3.48-3.59, 2 Sm 3.55, 1 Th 3.60
Nd 0.7377 0.2624 0.0000  4 Sm 3.48-3.59, 6 Nd 3.53-3.69, 1 Th 3.53
Sm 0.1399 0.4035 0.1396  4 Nd 3.48-3.59, 2 Sm 3.55, 1 Th 3.60
Nd 0.7376 0.0000 0.2623  4 Sm 3.48-3.59, 1 Th 3.53, 6 Nd 3.53-3.69
Nd 0.2623 0.7376 0.0000  4 Sm 3.48-3.59, 6 Nd 3.53-3.69, 1 Th 3.53
Nd 0.1706 0.5843 0.5841  5 Nd 3.24-3.58
Sm 0.8601 0.5965 0.8604  4 Nd 3.48-3.59, 2 Sm 3.55, 1 Th 3.60
Nd 0.8294 0.4157 0.4159  5 Nd 3.24-3.58
Sm 0.4035 0.1396 0.1399  4 Nd 3.48-3.59, 2 Sm 3.55, 1 Th 3.60
Nd 0.5841 0.1706 0.5843  5 Nd 3.24-3.58
Nd 0.0000 0.2623 0.7376  4 Sm 3.48-3.59, 6 Nd 3.53-3.69, 1 Th 3.53
Nd 0.4159 0.8294 0.4157  5 Nd 3.24-3.58
Nd 0.5843 0.5841 0.1706  5 Nd 3.24-3.58

***

5.
VASP calculation (PBE) on a relaxed structure of NdSm7Th3.

Calculated values
E_form	21	kJ per mole of atoms
volume	35.17	Å³ per atom
total magnetic moment	0.00	μB per cell
energy	-0.38514	Ry per atom

Cell lengths 8.6941, 7.1680, 7.1680 Å; angles 120.00, 90.00, 90.00 degrees
With the nearest neighbours (Å) after each atom.
Element x y z (fractional)
Sm 0.1103 0.6640 0.8320  2 Th 3.51, 8 Sm 3.56-3.66, 1 Nd 3.67
Sm 0.4556 0.3365 0.1682  2 Th 3.52, 7 Sm 3.55-3.66, 2 Nd 3.58
Sm 0.4556 0.8318 0.6635  2 Th 3.52, 7 Sm 3.55-3.66, 2 Nd 3.58
Sm 0.1072 0.6667 0.3333  3 Th 3.49, 9 Sm 3.58-3.66
Th 0.7835 0.9992 0.4996  5 Sm 3.49-3.52, 1 Nd 3.50, 4 Th 3.58-3.59
Th 0.7835 0.5004 0.4996  5 Sm 3.49-3.52, 1 Nd 3.50, 4 Th 3.58-3.59
Nd 0.4596 0.3333 0.6667  3 Th 3.50, 9 Sm 3.58-3.67
Sm 0.1103 0.1680 0.3360  2 Th 3.51, 8 Sm 3.56-3.66, 1 Nd 3.67
Th 0.7835 0.5004 0.0008  5 Sm 3.49-3.52, 1 Nd 3.50, 4 Th 3.58-3.59
Sm 0.1103 0.1680 0.8320  2 Th 3.51, 8 Sm 3.56-3.66, 1 Nd 3.67
Sm 0.4556 0.8318 0.1682  2 Th 3.52, 7 Sm 3.55-3.66, 2 Nd 3.58

***

6.
VASP calculation (PBE) on a relaxed structure of Nd9Sm2Th.

Calculated values
E_form	3	kJ per mole of atoms
volume	34.74	Å³ per atom
total magnetic moment	0.00	μB per cell
energy	-0.36400	Ry per atom

Cell lengths 5.1794, 5.1794, 15.5405 Å; angles 90.00, 90.00, 90.00 degrees
With the nearest neighbours (Å) after each atom.
Element x y z (fractional)
Sm 0.0000 0.0000 0.3331  12 Nd 3.66-3.69
Nd 0.0000 0.5000 0.1636  2 Th 3.63, 8 Nd 3.63-3.70, 2 Sm 3.69
Sm 0.0000 0.0000 0.6669  12 Nd 3.66-3.69
Nd 0.5000 0.0000 0.1636  2 Th 3.63, 8 Nd 3.63-3.70, 2 Sm 3.69
Nd 0.5000 0.0000 0.8364  2 Th 3.63, 8 Nd 3.63-3.70, 2 Sm 3.69
Nd 0.5000 0.5000 0.0000  8 Nd 3.63, 4 Th 3.66
Nd 0.5000 0.0000 0.5000  8 Nd 3.65-3.66, 4 Sm 3.67
Nd 0.5000 0.5000 0.6659  8 Nd 3.65-3.70, 4 Sm 3.66
Nd 0.0000 0.5000 0.8364  2 Th 3.63, 8 Nd 3.63-3.70, 2 Sm 3.69
Th 0.0000 0.0000 0.0000  12 Nd 3.63-3.66
Nd 0.5000 0.5000 0.3341  8 Nd 3.65-3.70, 4 Sm 3.66
Nd 0.0000 0.5000 0.5000  8 Nd 3.65-3.66, 4 Sm 3.67

***

7.
VASP calculation (PBE) on a relaxed structure of Nd3Sm8Th.

Calculated values
E_form	31	kJ per mole of atoms
volume	36.74	Å³ per atom
total magnetic moment	0.00	μB per cell
energy	-0.34096	Ry per atom

Cell lengths 8.8373, 8.8373, 8.8373 Å; angles 97.99, 136.57, 97.75 degrees
With the nearest neighbours (Å) after each atom.
Element x y z (fractional)
Sm 0.9946 0.7482 0.2463  6 Sm 3.22-3.49, 1 Nd 3.33, 1 Th 3.34
Sm 0.8320 0.0801 0.2482  6 Sm 3.44-3.78, 1 Th 3.48, 3 Nd 3.51-3.81
Nd 0.5000 0.7623 0.2623  6 Sm 3.81-3.86
Sm 0.1680 0.4162 0.2482  6 Sm 3.44-3.78, 1 Th 3.48, 3 Nd 3.51-3.81
Th 0.0000 0.0000 0.0000  8 Sm 3.34-3.48
Nd 0.0000 0.5000 0.5000  8 Sm 3.33-3.51
Sm 0.5019 0.7482 0.7537  6 Sm 3.22-3.49, 1 Nd 3.33, 1 Th 3.34
Sm 0.8319 0.5838 0.7518  6 Sm 3.44-3.78, 1 Th 3.48, 3 Nd 3.51-3.81
Sm 0.4981 0.2518 0.2464  6 Sm 3.22-3.49, 1 Nd 3.33, 1 Th 3.34
Sm 0.1681 0.9199 0.7518  6 Sm 3.44-3.78, 1 Th 3.48, 3 Nd 3.51-3.81
Sm 0.0054 0.2518 0.7536  6 Sm 3.22-3.49, 1 Nd 3.33, 1 Th 3.34
Nd 0.5000 0.2377 0.7377  6 Sm 3.81-3.86

***

8.
VASP calculation (PBE) on a relaxed structure of Nd2SmTh2.

Calculated values
E_form	37	kJ per mole of atoms
polymorph energy (0 for the lowest one)	171	kJ/mol of formula units
volume	36.04	Å³ per atom
total magnetic moment	0.00	μB per cell
energy	-0.39917	Ry per atom

Cell lengths 4.7547, 4.7547, 8.6508 Å; angles 105.95, 105.95, 90.00 degrees
With the nearest neighbours (Å) after each atom.
Element x y z (fractional)
Nd 0.5975 0.5975 0.1950  1 Nd 3.11, 4 Th 3.40
Nd 0.4025 0.4025 0.8050  1 Nd 3.11, 4 Th 3.40
Sm 0.0000 0.0000 0.0000  8 Nd 3.70
Th 0.2500 0.7500 0.5000  4 Th 3.36, 4 Nd 3.40
Th 0.7500 0.2500 0.5000  4 Th 3.36, 4 Nd 3.40

***

9.
VASP calculation (PBE) on a relaxed structure of Nd4Sm5Th4.

Calculated values
E_form	4	kJ per mole of atoms
volume	33.80	Å³ per atom
total magnetic moment	0.00	μB per cell
energy	-0.40612	Ry per atom

Cell lengths 5.1047, 9.6229, 9.6229 Å; angles 85.97, 74.62, 74.62 degrees
With the nearest neighbours (Å) after each atom.
Element x y z (fractional)
Th 0.6112 0.3150 0.4626  5 Th 3.50-3.56, 3 Sm 3.58-3.61, 4 Nd 3.59-3.75
Nd 0.8477 0.9178 0.3867  6 Sm 3.58-3.68, 4 Th 3.59-3.75, 2 Nd 3.64
Nd 0.2344 0.6133 0.9178  6 Sm 3.58-3.68, 4 Th 3.59-3.75, 2 Nd 3.64
Nd 0.1523 0.0822 0.6133  6 Sm 3.58-3.68, 4 Th 3.59-3.75, 2 Nd 3.64
Sm 0.3024 0.1600 0.2351  3 Th 3.58-3.61, 5 Nd 3.58-3.68, 4 Sm 3.67-3.73
Th 0.0738 0.5374 0.3150  5 Th 3.50-3.56, 3 Sm 3.58-3.61, 4 Nd 3.59-3.75
Th 0.3888 0.6850 0.5374  5 Th 3.50-3.56, 3 Sm 3.58-3.61, 4 Nd 3.59-3.75
Sm 0.4625 0.2351 0.8400  3 Th 3.58-3.61, 5 Nd 3.58-3.68, 4 Sm 3.67-3.73
Sm 0.5375 0.7649 0.1600  3 Th 3.58-3.61, 5 Nd 3.58-3.68, 4 Sm 3.67-3.73
Sm 0.0000 0.0000 0.0000  4 Nd 3.67, 8 Sm 3.67
Nd 0.7656 0.3867 0.0822  6 Sm 3.58-3.68, 4 Th 3.59-3.75, 2 Nd 3.64
Th 0.9262 0.4626 0.6850  5 Th 3.50-3.56, 3 Sm 3.58-3.61, 4 Nd 3.59-3.75
Sm 0.6976 0.8400 0.7649  3 Th 3.58-3.61, 5 Nd 3.58-3.68, 4 Sm 3.67-3.73

***

10.
VASP calculation (PBE) on a relaxed structure of NdSm4Th.

Calculated values
E_form	3	kJ per mole of atoms
polymorph energy (0 for the lowest one)	0	kJ/mol of formula units
volume	33.78	Å³ per atom
total magnetic moment	0.00	μB per cell
energy	-0.37816	Ry per atom

Cell lengths 3.6136, 9.6272, 12.0392 Å; angles 148.67, 90.22, 100.77 degrees
With the nearest neighbours (Å) after each atom.
Element x y z (fractional)
Sm 0.1721 0.3461 0.5074  7 Sm 3.55-3.66, 3 Th 3.58-3.64, 2 Nd 3.67
Sm 0.8278 0.6538 0.4926  7 Sm 3.55-3.66, 3 Th 3.58-3.64, 2 Nd 3.67
Sm 0.3381 0.6761 0.0022  2 Th 3.58, 7 Sm 3.59-3.75, 3 Nd 3.65-3.67
Sm 0.6619 0.3240 0.9978  2 Th 3.58, 7 Sm 3.59-3.75, 3 Nd 3.65-3.67
Th 0.0000 0.0000 0.0000  10 Sm 3.58-3.64, 2 Th 3.61
Nd 0.5000 0.9999 0.5000  2 Nd 3.61, 10 Sm 3.65-3.67

***

11.
VASP calculation (PBE) on a relaxed structure of Nd6Sm5Th2.

Calculated values
E_form	11	kJ per mole of atoms
volume	34.92	Å³ per atom
total magnetic moment	0.00	μB per cell
energy	-0.37048	Ry per atom

Cell lengths 3.6450, 11.7301, 21.2342 Å; angles 90.00, 90.00, 90.00 degrees
With the nearest neighbours (Å) after each atom.
Element x y z (fractional)
Th 0.0000 0.8091 0.2338  3 Nd 3.39-3.52, 6 Sm 3.54-3.70, 2 Th 3.65
Sm 0.5000 0.4365 0.7069  5 Nd 3.44-3.61, 4 Th 3.54-3.63, 2 Sm 3.65
Nd 0.0000 0.5827 0.4379  5 Nd 3.27-3.65, 2 Sm 3.58
Nd 0.0000 0.9173 0.9379  5 Nd 3.27-3.65, 2 Sm 3.58
Sm 0.5000 0.5000 0.0000  6 Nd 3.41-3.69, 2 Sm 3.65
Sm 0.5000 0.0000 0.5000  6 Nd 3.41-3.69, 2 Sm 3.65
Nd 0.0000 0.0668 0.3536  1 Th 3.39, 4 Nd 3.49-3.65, 6 Sm 3.61-3.69
Nd 0.0000 0.4332 0.8536  1 Th 3.39, 4 Nd 3.49-3.65, 6 Sm 3.61-3.69
Nd 0.0000 0.0827 0.0621  5 Nd 3.27-3.65, 2 Sm 3.58
Nd 0.0000 0.5668 0.1464  1 Th 3.39, 4 Nd 3.49-3.65, 6 Sm 3.61-3.69
Sm 0.5000 0.9365 0.7931  5 Nd 3.44-3.61, 4 Th 3.54-3.63, 2 Sm 3.65
Nd 0.5000 0.8165 0.3753  2 Sm 3.41-3.44, 6 Nd 3.49-3.65, 2 Th 3.52
Nd 0.5000 0.3165 0.1247  2 Sm 3.41-3.44, 6 Nd 3.49-3.65, 2 Th 3.52
Sm 0.5000 0.6868 0.5823  4 Sm 3.65-4.07, 6 Nd 3.67-3.77, 2 Th 3.70
Nd 0.5000 0.1835 0.6247  2 Sm 3.41-3.44, 6 Nd 3.49-3.65, 2 Th 3.52
Nd 0.0000 0.4173 0.5621  5 Nd 3.27-3.65, 2 Sm 3.58
Nd 0.0000 0.9332 0.6464  1 Th 3.39, 4 Nd 3.49-3.65, 6 Sm 3.61-3.69
Sm 0.5000 0.1868 0.9177  4 Sm 3.65-4.07, 6 Nd 3.67-3.77, 2 Th 3.70
Nd 0.5000 0.6835 0.8753  2 Sm 3.41-3.44, 6 Nd 3.49-3.65, 2 Th 3.52
Sm 0.5000 0.8132 0.0823  4 Sm 3.65-4.07, 6 Nd 3.67-3.77, 2 Th 3.70
Sm 0.5000 0.3132 0.4177  4 Sm 3.65-4.07, 6 Nd 3.67-3.77, 2 Th 3.70
Sm 0.5000 0.0635 0.2069  5 Nd 3.44-3.61, 4 Th 3.54-3.63, 2 Sm 3.65
Th 0.0000 0.3091 0.2662  3 Nd 3.39-3.52, 6 Sm 3.54-3.70, 2 Th 3.65
Sm 0.5000 0.5635 0.2931  5 Nd 3.44-3.61, 4 Th 3.54-3.63, 2 Sm 3.65
Th 0.0000 0.1909 0.7662  3 Nd 3.39-3.52, 6 Sm 3.54-3.70, 2 Th 3.65
Th 0.0000 0.6909 0.7338  3 Nd 3.39-3.52, 6 Sm 3.54-3.70, 2 Th 3.65

***

12.
VASP calculation (PBE) on a relaxed structure of Nd4Sm3Th2.

Calculated values
E_form	9	kJ per mole of atoms
polymorph energy (0 for the lowest one)	59	kJ/mol of formula units
volume	34.38	Å³ per atom
total magnetic moment	0.00	μB per cell
energy	-0.38603	Ry per atom

Cell lengths 3.6119, 3.6119, 27.3837 Å; angles 90.00, 90.00, 120.00 degrees
With the nearest neighbours (Å) after each atom.
Element x y z (fractional)
Th 0.6667 0.3333 0.8734  6 Th 3.61, 3 Nd 3.63, 3 Sm 3.63
Sm 0.0000 0.0000 0.9820  6 Sm 3.61, 6 Th 3.62-3.63
Nd 0.6667 0.3333 0.2146  1 Th 3.41, 3 Sm 3.60, 6 Nd 3.61
Nd 0.6667 0.3333 0.4328  9 Nd 3.61-3.70, 3 Sm 3.69
Sm 0.6667 0.3333 0.6535  6 Sm 3.61, 6 Nd 3.65-3.69
Nd 0.0000 0.0000 0.5443  9 Nd 3.61-3.70, 3 Sm 3.65
Th 0.6667 0.3333 0.0901  1 Nd 3.41, 6 Th 3.61, 3 Sm 3.62
Nd 0.0000 0.0000 0.7647  6 Nd 3.61, 3 Th 3.63, 3 Sm 3.69
Sm 0.0000 0.0000 0.3217  6 Nd 3.60-3.69, 6 Sm 3.61

***

Repeat the eleventh record exactly.
VASP calculation (PBE) on a relaxed structure of Nd6Sm5Th2.

Calculated values
E_form	11	kJ per mole of atoms
volume	34.92	Å³ per atom
total magnetic moment	0.00	μB per cell
energy	-0.37048	Ry per atom

Cell lengths 3.6450, 11.7301, 21.2342 Å; angles 90.00, 90.00, 90.00 degrees
With the nearest neighbours (Å) after each atom.
Element x y z (fractional)
Th 0.0000 0.8091 0.2338  3 Nd 3.39-3.52, 6 Sm 3.54-3.70, 2 Th 3.65
Sm 0.5000 0.4365 0.7069  5 Nd 3.44-3.61, 4 Th 3.54-3.63, 2 Sm 3.65
Nd 0.0000 0.5827 0.4379  5 Nd 3.27-3.65, 2 Sm 3.58
Nd 0.0000 0.9173 0.9379  5 Nd 3.27-3.65, 2 Sm 3.58
Sm 0.5000 0.5000 0.0000  6 Nd 3.41-3.69, 2 Sm 3.65
Sm 0.5000 0.0000 0.5000  6 Nd 3.41-3.69, 2 Sm 3.65
Nd 0.0000 0.0668 0.3536  1 Th 3.39, 4 Nd 3.49-3.65, 6 Sm 3.61-3.69
Nd 0.0000 0.4332 0.8536  1 Th 3.39, 4 Nd 3.49-3.65, 6 Sm 3.61-3.69
Nd 0.0000 0.0827 0.0621  5 Nd 3.27-3.65, 2 Sm 3.58
Nd 0.0000 0.5668 0.1464  1 Th 3.39, 4 Nd 3.49-3.65, 6 Sm 3.61-3.69
Sm 0.5000 0.9365 0.7931  5 Nd 3.44-3.61, 4 Th 3.54-3.63, 2 Sm 3.65
Nd 0.5000 0.8165 0.3753  2 Sm 3.41-3.44, 6 Nd 3.49-3.65, 2 Th 3.52
Nd 0.5000 0.3165 0.1247  2 Sm 3.41-3.44, 6 Nd 3.49-3.65, 2 Th 3.52
Sm 0.5000 0.6868 0.5823  4 Sm 3.65-4.07, 6 Nd 3.67-3.77, 2 Th 3.70
Nd 0.5000 0.1835 0.6247  2 Sm 3.41-3.44, 6 Nd 3.49-3.65, 2 Th 3.52
Nd 0.0000 0.4173 0.5621  5 Nd 3.27-3.65, 2 Sm 3.58
Nd 0.0000 0.9332 0.6464  1 Th 3.39, 4 Nd 3.49-3.65, 6 Sm 3.61-3.69
Sm 0.5000 0.1868 0.9177  4 Sm 3.65-4.07, 6 Nd 3.67-3.77, 2 Th 3.70
Nd 0.5000 0.6835 0.8753  2 Sm 3.41-3.44, 6 Nd 3.49-3.65, 2 Th 3.52
Sm 0.5000 0.8132 0.0823  4 Sm 3.65-4.07, 6 Nd 3.67-3.77, 2 Th 3.70
Sm 0.5000 0.3132 0.4177  4 Sm 3.65-4.07, 6 Nd 3.67-3.77, 2 Th 3.70
Sm 0.5000 0.0635 0.2069  5 Nd 3.44-3.61, 4 Th 3.54-3.63, 2 Sm 3.65
Th 0.0000 0.3091 0.2662  3 Nd 3.39-3.52, 6 Sm 3.54-3.70, 2 Th 3.65
Sm 0.5000 0.5635 0.2931  5 Nd 3.44-3.61, 4 Th 3.54-3.63, 2 Sm 3.65
Th 0.0000 0.1909 0.7662  3 Nd 3.39-3.52, 6 Sm 3.54-3.70, 2 Th 3.65
Th 0.0000 0.6909 0.7338  3 Nd 3.39-3.52, 6 Sm 3.54-3.70, 2 Th 3.65

***

What is the volume in the eighth record?
36.04 Å³ per atom